(1)
Below is HfScNiB after structural relaxation, with properties calculated at the PBE-GGA level.

- SG = F-43m

a = 4.3626 Å, b = 4.3626 Å, c = 4.3626 Å
α = 60.00°, β = 60.00°, γ = 60.00°
Closest atoms and distances in Å follow each position.
Atoms (fractional coordinates):
Hf: 0.0000 0.0000 0.0000  4 Ni 2.67, 4 B 2.67
Sc: 0.5000 0.5000 0.5000  4 Ni 2.67, 4 B 2.67
Ni: 0.7500 0.7500 0.7500  4 Sc 2.67, 4 Hf 2.67
B: 0.2500 0.2500 0.2500  4 Sc 2.67, 4 Hf 2.67



(2)
Below is HfTaNiB after structural relaxation, with properties calculated at the PBE-GGA level.

- SG = F-43m

a = 4.2893 Å, b = 4.2893 Å, c = 4.2893 Å
α = 60.00°, β = 60.00°, γ = 60.00°
Closest atoms and distances in Å follow each position.
Atoms (fractional coordinates):
Hf: 0.0000 0.0000 0.0000  4 Ni 2.63, 4 B 2.63
Ta: 0.5000 0.5000 0.5000  4 Ni 2.63, 4 B 2.63
Ni: 0.2500 0.2500 0.2500  4 Hf 2.63, 4 Ta 2.63
B: 0.7500 0.7500 0.7500  4 Hf 2.63, 4 Ta 2.63



(3)
Below is HfTaNiB after structural relaxation, with properties calculated at the PBE-GGA level.

- SG = F-43m

a = 4.3227 Å, b = 4.3227 Å, c = 4.3227 Å
α = 60.00°, β = 60.00°, γ = 60.00°
Closest atoms and distances in Å follow each position.
Atoms (fractional coordinates):
Hf: 0.0000 0.0000 0.0000  4 Ni 2.65, 4 Ta 2.65
Ta: 0.2500 0.2500 0.2500  4 B 2.65, 4 Hf 2.65
Ni: 0.7500 0.7500 0.7500  4 Hf 2.65, 4 B 2.65
B: 0.5000 0.5000 0.5000  4 Ni 2.65, 4 Ta 2.65



(4)
Below is HfTcNiB after structural relaxation, with properties calculated at the PBE-GGA level.

- SG = F-43m

a = 4.1992 Å, b = 4.1992 Å, c = 4.1992 Å
α = 60.00°, β = 60.00°, γ = 60.00°
Closest atoms and distances in Å follow each position.
Atoms (fractional coordinates):
Hf: 0.0000 0.0000 0.0000  4 Tc 2.57, 4 Ni 2.57
Tc: 0.2500 0.2500 0.2500  4 B 2.57, 4 Hf 2.57
Ni: 0.7500 0.7500 0.7500  4 Hf 2.57, 4 B 2.57
B: 0.5000 0.5000 0.5000  4 Tc 2.57, 4 Ni 2.57



no.,E_tot (eV/f.u.)
1,-29.19
2,-33.92
3,-31.10
4,-31.79